Entry from Alexandria: a relaxed structure of CdRu (GGA-PBE).

Calculated values
* formation energy: 0.219 eV per atom
* DOS(E_F): 1.41 states/eV/f.u.

Cell lengths 9.862, 9.862, 9.862 Å; angles 16.62, 16.62, 16.62 degrees
Positions (direct):
Cd  0.118  0.118  0.118
Cd  0.882  0.882  0.882
Ru  0.368  0.368  0.368
Ru  0.632  0.632  0.632

Entry from Alexandria: a relaxed structure of Sb2AsRu (GGA-PBE).

Calculated values
* DOS(E_F): 1.87 states/eV/f.u.
* ΔE_f (raw): 10 kJ/mol of atoms

Cell lengths 4.417, 4.417, 6.896 Å; angles 96.91, 96.91, 42.61 degrees
Positions (direct):
Sb  0.000  0.000  0.000
Sb  0.229  0.229  0.616
As  0.775  0.775  0.255
Ru  0.496  0.496  0.366

Entry from Alexandria: a relaxed structure of Np3Tl3GeS8 (GGA-PBE).

Calculated values
* DOS(E_F): 32.28 states/eV/f.u.
* ΔE_f (raw): -87 kJ/mol of atoms

Cell lengths 8.777, 8.777, 8.777 Å; angles 54.48, 54.48, 54.48 degrees
Positions (direct):
Np  0.000  0.500  0.500
Np  0.500  0.000  0.500
Np  0.500  0.500  0.000
Tl  0.000  0.000  0.500
Tl  0.000  0.500  0.000
Tl  0.500  0.000  0.000
Ge  0.000  0.000  0.000
S  0.231  0.231  0.725
S  0.231  0.725  0.231
S  0.268  0.268  0.268
S  0.275  0.769  0.769
S  0.725  0.231  0.231
S  0.732  0.732  0.732
S  0.769  0.275  0.769
S  0.769  0.769  0.275